The following is a DFT calculation (GGA-PBE) of a relaxed structure of TlSbPt.

```
TlSbPt
1.0
3.872 0.000 0.000
-1.936 3.353 0.000
0.000 0.000 5.926
Tl Sb Pt
1 1 1
direct
0.000 0.000 0.000 Tl
0.333 0.667 0.559 Sb
0.667 0.333 0.323 Pt
```

Values from the calculation:
* magnetization: 0.00 μB per cell
* space group: P3m1 (156)
* formation energy from raw total energies: -172 meV per atom
* offset from the most stable computed form: 58 meV per atom
* crystal system: trigonal